ThRePd | the Alexandria database | PBE | relaxed; spin magnetization = 0.00 μB/f.u.; D(E_F) = 0.80 states/eV per atom; energy of formation from the pure elements = -0.312 eV/f.u.; symmetry = No. 63; total energy = -50.75 eV/cell
1.0
-1.689 -0.941 3.362
3.104 -0.420 1.442
1.593 9.364 3.420
Th Re Pd
2 2 2
Direct
0.250 0.882 0.236 Th
0.750 0.118 0.764 Th
0.250 0.249 0.503 Re
0.750 0.751 0.497 Re
0.250 0.547 0.905 Pd
0.750 0.453 0.095 Pd



YThRePd | the Alexandria database | PBE | relaxed; spin magnetization = 0.00 μB/f.u.; D(E_F) = 0.71 states/eV per atom; energy of formation from the pure elements = -1.194 eV/f.u.; symmetry = No. 216; total energy = -32.72 eV/cell
1.0
5.002 0.000 0.000
2.501 4.332 0.000
2.501 1.444 4.084
Y Re Pd Th
1 1 1 1
Direct
0.250 0.250 0.250 Y
0.500 0.500 0.500 Re
0.000 0.000 0.000 Pd
0.750 0.750 0.750 Th



ThZrRePd | the Alexandria database | PBE | relaxed; spin magnetization = 0.00 μB/f.u.; D(E_F) = 0.61 states/eV per atom; energy of formation from the pure elements = -1.228 eV/f.u.; symmetry = No. 216; total energy = -34.84 eV/cell
1.0
-0.426 -3.129 3.741
3.974 -2.228 1.793
1.707 1.225 4.422
Re Zr Pd Th
1 1 1 1
Direct
0.250 0.250 0.250 Re
0.000 0.000 0.000 Zr
0.750 0.750 0.750 Pd
0.500 0.500 0.500 Th



energy of formation from the pure elements of number 3 (ThZrRePd)?
-1.228 eV/f.u.



Please write out number 2 again, unchanged.
YThRePd | the Alexandria database | PBE | relaxed; spin magnetization = 0.00 μB/f.u.; D(E_F) = 0.71 states/eV per atom; energy of formation from the pure elements = -1.194 eV/f.u.; symmetry = No. 216; total energy = -32.72 eV/cell
1.0
5.002 0.000 0.000
2.501 4.332 0.000
2.501 1.444 4.084
Y Re Pd Th
1 1 1 1
Direct
0.250 0.250 0.250 Y
0.500 0.500 0.500 Re
0.000 0.000 0.000 Pd
0.750 0.750 0.750 Th



Among the records above, which one has the lowest energy of formation from the pure elements?
ThZrRePd



What is the total energy in the first record?
-50.75 eV/cell